Record 1
First-principles (PBE) data for Ta3Tc after structural relaxation, as listed in Alexandria.

Values from the calculation:
Crystal system: orthorhombic
D(E_F), states/eV per cell: 7.4
Excess energy over the best structure of this formula in the dataset, eV/atom: 0.138
ΔH_f (0 K), kcal/mol of atoms: -3.22

abc: 3.2640 4.7073 8.9891
angles: 90.00 90.00 90.00
Space group Cmmm (No. 65)
Asymmetric unit:
Ta  0.0000  0.0000  0.0000 [2 per cell]
Ta  0.0000  0.5000  0.2623 [4 per cell]
Tc  0.0000  0.0000  0.5000 [2 per cell]

---

Record 2
First-principles (PBE) data for SmTh6Pb10 after structural relaxation, as listed in Alexandria.

Values from the calculation:
Crystal system: trigonal
D(E_F), states/eV per cell: 15.4
ΔH_f (0 K), kcal/mol of atoms: -6.03

abc: 9.7109 9.7109 6.4530
angles: 90.00 90.00 120.00
Space group P-31m (No. 162)
Asymmetric unit:
Sm  0.0000  0.0000  0.0000 [1 per cell]
Th  0.0000  0.3864  0.7585 [6 per cell]
Pb  0.0000  0.2676  0.2760 [6 per cell]
Pb  0.3333  0.6667  0.0000 [2 per cell]
Pb  0.3333  0.6667  0.5000 [2 per cell]

---

Record 3
First-principles (PBE) data for Ba2Hf3Se8 after structural relaxation, as listed in Alexandria.

Values from the calculation:
Crystal system: monoclinic

abc: 15.6418 7.9189 6.8906
angles: 90.00 107.66 90.00
Space group C2/m (No. 12)
Asymmetric unit:
Ba  0.2410  0.0000  0.1738 [4 per cell]
Hf  0.0000  0.2388  0.5000 [4 per cell]
Hf  0.0000  0.5000  0.0000 [2 per cell]
Se  0.0987  0.2635  0.8928 [8 per cell]
Se  0.0990  0.5000  0.3948 [4 per cell]
Se  0.1092  0.0000  0.4583 [4 per cell]

---

Record 4
First-principles (PBE) data for VZnH after structural relaxation, as listed in Alexandria.

Values from the calculation:
Crystal system: monoclinic
D(E_F), states/eV per cell: 2.2
Excess energy over the best structure of this formula in the dataset, eV/atom: 0.056

abc: 2.6942 5.1871 4.4596
angles: 90.00 96.26 90.00
Space group Pm (No. 6)
Asymmetric unit:
V  0.0000  0.0000  0.0000 [1 per cell]
V  0.3242  0.5000  0.9591 [1 per cell]
Zn  0.7263  0.2582  0.4554 [2 per cell]
H  0.4590  0.1834  0.8466 [2 per cell]

---

Number 1: V 17.265 A^3/atom, VASP energy -92.97 eV/cell. Number 2: V 31.000 A^3/atom, VASP energy -90.77 eV/cell. Number 3: V 31.280 A^3/atom, VASP energy -163.28 eV/cell. Number 4: V 10.325 A^3/atom, VASP energy -27.46 eV/cell.